# 1
A plane-wave DFT calculation with PBE-GGA was carried out for a geometry-optimized SmNb4Si2 structure.

a = 4.2341 Å, b = 3.7153 Å, c = 8.6495 Å
α = 102.40°, β = 90.00°, γ = 90.00°
With the nearest neighbours (Å) after each atom.
Atoms (fractional coordinates):
Nb 0.5000 0.1794 0.3588  2 Si 2.61, 4 Nb 2.82
Nb 0.5000 0.8206 0.6412  2 Si 2.61, 4 Nb 2.82
Si 0.5000 0.5710 0.1420  1 Si 2.40, 2 Nb 2.61
Sm 0.0000 0.0000 0.0000  8 Si 3.06
Nb 0.0000 0.6744 0.3488  2 Si 2.74, 4 Nb 2.82
Si 0.5000 0.4290 0.8580  1 Si 2.40, 2 Nb 2.61
Nb 0.0000 0.3256 0.6512  2 Si 2.74, 4 Nb 2.82

Crystal system = orthorhombic
Formation energy from raw total energies = -40.7 kJ per mole of atoms

# 2
A plane-wave DFT calculation with PBE-GGA was carried out for a geometry-optimized CeHg2 structure.

a = 3.6783 Å, b = 3.6783 Å, c = 6.3420 Å
α = 106.83°, β = 106.83°, γ = 89.99°
With the nearest neighbours (Å) after each atom.
Atoms (fractional coordinates):
Ce 0.5000 0.5000 0.0000  8 Hg 3.28-3.29
Hg 0.8268 0.8268 0.6535  4 Hg 3.15, 4 Ce 3.28-3.29
Hg 0.1732 0.1732 0.3465  4 Hg 3.15, 4 Ce 3.28-3.29

Crystal system = tetragonal
DFT formation energy = -76 kJ/mol of formula units

# 3
A plane-wave DFT calculation with PBE-GGA was carried out for a geometry-optimized TlIrPtRh2 structure.

a = 4.8666 Å, b = 4.7949 Å, c = 4.8666 Å
α = 90.00°, β = 90.00°, γ = 90.00°
With the nearest neighbours (Å) after each atom.
Atoms (fractional coordinates):
Rh 0.0000 0.0000 0.5000  2 Pt 2.43
Rh 0.5000 0.0000 0.0000  2 Pt 2.43
Tl 0.5000 0.5000 0.5000  8 Rh 3.42, 4 Ir 3.44
Pt 0.0000 0.0000 0.0000  2 Ir 2.40, 4 Rh 2.43
Ir 0.0000 0.5000 0.0000  2 Pt 2.40

Crystal system = tetragonal
DFT formation energy = 641 kJ/mol of formula units

no.,final energy (eV/atom)
1,-8.400
2,-2.442
3,-5.066